# Rb2TeI6Br | the Alexandria database | GGA-PBE | optimized geometry
data_Rb2TeI6Br
_chemical_formula_sum 'Rb4 Te2 I12 Br2'
_symmetry_space_group_name_H-M 'I 4/m m m'
_symmetry_Int_Tables_number 139
_symmetry_space_group_name_Hall '-I 4 2'
_cell_length_a 8.588
_cell_length_b 8.588
_cell_length_c 13.060
_cell_angle_alpha 90.00
_cell_angle_beta 90.00
_cell_angle_gamma 90.00
loop_
_atom_site_label
_atom_site_type_symbol
_atom_site_fract_x
_atom_site_fract_y
_atom_site_fract_z
Rb1 Rb 0.000 0.500 0.250
Te1 Te 0.000 0.000 0.000
I1 I 0.000 0.000 0.228
I2 I 0.247 0.247 0.000
Br1 Br 0.000 0.000 0.500
# Total DFT energy (no corrections) ... -2.24 eV per atom